Here is a relaxed structure of Pr3Nd2Sn3 from the Alexandria database. Energies are from GGA-PBE.

abc: 6.8619 9.3578 9.3578
angles: 120.00 90.00 90.00
Fractional coordinates of all 16 atoms:
Sn (0.7500, 0.3942, 0.3942)
Sn (0.7500, 0.0000, 0.6058)
Sn (0.2500, 0.3942, 0.0000)
Sn (0.2500, 0.6058, 0.6058)
Sn (0.2500, 0.0000, 0.3942)
Sn (0.7500, 0.6058, 0.0000)
Nd (0.5000, 0.3333, 0.6667)
Nd (0.0000, 0.3333, 0.6667)
Nd (0.5000, 0.6667, 0.3333)
Nd (0.0000, 0.6667, 0.3333)
Pr (0.7500, 0.2432, 0.0000)
Pr (0.2500, 0.2432, 0.2432)
Pr (0.7500, 0.0000, 0.2432)
Pr (0.2500, 0.0000, 0.7568)
Pr (0.7500, 0.7568, 0.7568)
Pr (0.2500, 0.7568, 0.0000)

Summary:
As for the space group: No. 193. For the density of states at the Fermi level, the calculation gives 18.175 states/eV/cell. For the energy relative to the elements, the calculation gives -0.69 eV/atom.

Here is a relaxed structure of CdNiAu2 from the Alexandria database. Energies are from GGA-PBE.

abc: 4.5787 4.5787 4.5787
angles: 60.00 60.00 60.00
Fractional coordinates of all 4 atoms:
Cd (0.5000, 0.5000, 0.5000)
Au (0.0000, 0.0000, 0.0000)
Au (0.2500, 0.2500, 0.2500)
Ni (0.7500, 0.7500, 0.7500)

Summary:
As for the space group: No. 216. For the density of states at the Fermi level, the calculation gives 1.709 states/eV/cell. For the energy relative to the elements, the calculation gives 0.02 eV/atom.

Here is a relaxed structure of TbTh2Sc from the Alexandria database. Energies are from GGA-PBE.

abc: 5.5449 5.5449 5.5449
angles: 60.00 60.00 60.00
Fractional coordinates of all 4 atoms:
Sc (0.5000, 0.5000, 0.5000)
Th (0.2500, 0.2500, 0.2500)
Th (0.7500, 0.7500, 0.7500)
Tb (0.0000, 0.0000, 0.0000)

Summary:
As for the space group: No. 225. The energy relative to the lowest polymorph listed for this composition is 72.9 meV per atom. For the density of states at the Fermi level, the calculation gives 5.127 states/eV/cell. For the energy relative to the elements, the calculation gives 0.12 eV/atom.

Here is a relaxed structure of CrNi14Rh from the Alexandria database. Energies are from GGA-PBE.

abc: 5.0330 5.0330 8.2137
angles: 90.00 90.00 120.34
Each line ends with the local moment (μB).
Fractional coordinates of all 16 atoms:
Ni (0.2096, 0.2921, 0.0000)  0.73
Ni (0.8729, 0.6219, 0.2468)  0.56
Ni (0.3756, 0.6244, 0.2506)  0.58
Ni (0.7080, 0.2920, 0.0000)  0.67
Ni (0.7079, 0.7904, 0.0000)  0.73
Ni (0.3781, 0.1271, 0.7532)  0.56
Ni (0.3756, 0.6244, 0.7494)  0.58
Ni (0.8729, 0.6219, 0.7532)  0.56
Ni (0.5411, 0.9593, 0.5000)  0.47
Ni (0.8736, 0.1264, 0.7538)  0.76
Ni (0.8736, 0.1264, 0.2462)  0.76
Ni (0.2092, 0.7908, 0.0000)  0.58
Ni (0.0407, 0.4589, 0.5000)  0.47
Ni (0.3781, 0.1271, 0.2468)  0.56
Rh (0.0411, 0.9589, 0.5000)  0.34
Cr (0.5421, 0.4579, 0.5000)  1.64

Summary:
As for the space group: No. 38. For the density of states at the Fermi level, the calculation gives 28.589 states/eV/cell. For the energy relative to the elements, the calculation gives 0.03 eV/atom.

Here is a relaxed structure of SrTc2PI from the Alexandria database. Energies are from GGA-PBE.

abc: 4.9032 5.6149 4.9032
angles: 90.00 90.00 90.00
Each line ends with the local moment (μB).
Fractional coordinates of all 5 atoms:
I (0.0000, 0.0000, 0.0000)  -0.04
Tc (0.5000, 0.0000, 0.0000)  1.55
Tc (0.0000, 0.0000, 0.5000)  1.41
Sr (0.5000, 0.5000, 0.5000)  0.00
P (0.0000, 0.5000, 0.0000)  0.14

Summary:
As for the space group: No. 123. As for the energy relative to the elements, uncorrected: 1334.2 meV/atom. For the density of states at the Fermi level, the calculation gives 6.219 states/eV/cell.

Here is a relaxed structure of Cs2Tl2Se3 from the Alexandria database. Energies are from GGA-PBE.

abc: 4.4874 7.3655 8.9761
angles: 102.57 104.48 90.00
Fractional coordinates of all 7 atoms:
Se (0.3398, 0.7965, 0.6796)
Se (0.0000, 0.5000, 0.0000)
Se (0.6602, 0.2035, 0.3204)
Cs (0.3396, 0.2982, 0.6792)
Cs (0.6604, 0.7018, 0.3208)
Tl (0.9378, 0.8169, 0.8757)
Tl (0.0622, 0.1831, 0.1243)

Summary:
As for the space group: No. 12. As for the energy relative to the elements, uncorrected: -695.8 meV/atom. The energy relative to the lowest polymorph listed for this composition is 20.8 meV per atom. For the density of states at the Fermi level, the calculation gives 1.739 states/eV/cell.

Here is a relaxed structure of ScTaPS2 from the Alexandria database. Energies are from GGA-PBE.

abc: 4.6945 4.6945 4.9186
angles: 90.00 90.00 90.00
Fractional coordinates of all 5 atoms:
S (0.5000, 0.0000, 0.0000)
S (0.0000, 0.5000, 0.0000)
Ta (0.0000, 0.0000, 0.0000)
Sc (0.5000, 0.5000, 0.5000)
P (0.0000, 0.0000, 0.5000)

Summary:
As for the space group: No. 123. As for the energy relative to the elements, uncorrected: -421.2 meV/atom. The energy relative to the lowest polymorph listed for this composition is 0.0 meV per atom. For the density of states at the Fermi level, the calculation gives 2.560 states/eV/cell.

Here is a relaxed structure of RbSbS3 from the Alexandria database. Energies are from GGA-PBE.

abc: 5.1514 5.1514 5.1514
angles: 90.00 90.00 90.00
Fractional coordinates of all 5 atoms:
S (0.5000, 0.0000, 0.0000)
S (0.0000, 0.0000, 0.5000)
S (0.0000, 0.5000, 0.0000)
Rb (0.5000, 0.5000, 0.5000)
Sb (0.0000, 0.0000, 0.0000)

Summary:
As for the space group: No. 221. As for the energy relative to the elements, uncorrected: -252.7 meV/atom. The energy relative to the lowest polymorph listed for this composition is 288.9 meV per atom. For the density of states at the Fermi level, the calculation gives 14.344 states/eV/cell.

Here is a relaxed structure of YHfRhAu from the Alexandria database. Energies are from GGA-PBE.

abc: 4.8468 4.8468 4.8468
angles: 60.00 60.00 60.00
Fractional coordinates of all 4 atoms:
Y (0.7500, 0.7500, 0.7500)
Au (0.0000, 0.0000, 0.0000)
Rh (0.5000, 0.5000, 0.5000)
Hf (0.2500, 0.2500, 0.2500)

Summary:
As for the space group: No. 216. For the density of states at the Fermi level, the calculation gives 3.018 states/eV/cell. For the energy relative to the elements, the calculation gives -0.65 eV/atom.

Here is a relaxed structure of Cs6K3Pt from the Alexandria database. Energies are from GGA-PBE.

abc: 12.0549 12.0549 12.0549
angles: 77.95 77.95 77.95
Fractional coordinates of all 20 atoms:
Cs (0.7903, 0.4763, 0.4763)
Cs (0.1816, 0.1815, 0.8683)
Cs (0.8185, 0.1317, 0.8184)
Cs (0.2097, 0.5237, 0.5237)
Cs (0.8184, 0.8185, 0.1317)
Cs (0.4763, 0.4763, 0.7903)
Cs (0.1317, 0.8184, 0.8185)
Cs (0.8683, 0.1816, 0.1815)
Cs (0.5237, 0.2097, 0.5237)
Cs (0.4763, 0.7903, 0.4763)
Cs (0.5237, 0.5237, 0.2097)
Cs (0.1815, 0.8683, 0.1816)
K (0.8625, 0.5431, 0.8625)
K (0.5431, 0.8625, 0.8625)
K (0.1375, 0.4569, 0.1375)
K (0.1375, 0.1375, 0.4569)
K (0.4569, 0.1375, 0.1375)
K (0.8625, 0.8625, 0.5431)
Pt (0.0000, 0.0000, 0.0000)
Pt (0.5000, 0.5000, 0.5000)

Summary:
As for the space group: No. 166. For the density of states at the Fermi level, the calculation gives 15.881 states/eV/cell. For the energy relative to the elements, the calculation gives -0.02 eV/atom.

Here is a relaxed structure of Ac2CuIrO6 from the Alexandria database. Energies are from GGA-PBE.

abc: 5.7701 5.5604 5.8110
angles: 118.58 119.79 90.00
Each line ends with the local moment (μB).
Fractional coordinates of all 10 atoms:
O (0.6824, 0.2640, 0.5279)  0.07
O (0.1966, 0.6985, 0.9005)  0.12
O (0.8034, 0.7979, 0.0995)  0.12
O (0.8034, 0.3015, 0.0995)  0.12
O (0.3176, 0.7360, 0.4721)  0.07
O (0.1966, 0.2021, 0.9005)  0.12
Ac (0.7574, 0.7491, 0.4982)  0.01
Ac (0.2426, 0.2509, 0.5018)  0.01
Ir (0.0000, 0.5000, 0.0000)  0.85
Cu (0.5000, 0.0000, 0.0000)  0.44

Summary:
As for the space group: No. 12. As for the energy relative to the elements, uncorrected: -2020.5 meV/atom. For the density of states at the Fermi level, the calculation gives 5.388 states/eV/cell.

Here is a relaxed structure of Ta2FeAs from the Alexandria database. Energies are from GGA-PBE.

abc: 3.2887 3.2887 5.8810
angles: 90.00 90.00 90.00
Each line ends with the local moment (μB).
Fractional coordinates of all 4 atoms:
Ta (0.0000, 0.0000, 0.9657)  -0.27
Ta (0.5000, 0.5000, 0.2753)  -0.10
Fe (0.5000, 0.5000, 0.7592)  1.46
As (0.0000, 0.0000, 0.4999)  0.02

Summary:
As for the space group: No. 99. For the density of states at the Fermi level, the calculation gives 3.023 states/eV/cell. For the energy relative to the elements, the calculation gives -0.09 eV/atom.

Here is a relaxed structure of CdPH from the Alexandria database. Energies are from GGA-PBE.

abc: 4.1042 4.4495 7.0105
angles: 81.02 87.23 85.93
Fractional coordinates of all 6 atoms:
Cd (0.3210, 0.9040, 0.6752)
Cd (0.3068, 0.6880, 0.1578)
H (0.7586, 0.4288, 0.4805)
H (0.8051, 0.1822, 0.9720)
P (0.8270, 0.8729, 0.9367)
P (0.4096, 0.4451, 0.4970)

Summary:
As for the space group: No. 1. The energy relative to the lowest polymorph listed for this composition is 13.4 meV per atom.

Here is a relaxed structure of LaErTm2Sb4 from the Alexandria database. Energies are from GGA-PBE.

abc: 6.2540 6.2540 7.6490
angles: 114.13 114.13 90.00
Fractional coordinates of all 8 atoms:
Sb (0.6814, 0.6814, 0.4887)
Sb (0.9372, 0.4374, 0.0000)
Sb (0.1927, 0.1927, 0.5113)
Sb (0.4374, 0.9372, 0.0000)
Er (0.4371, 0.4371, 0.0000)
Tm (0.1871, 0.6871, 0.5000)
Tm (0.6871, 0.1871, 0.5000)
La (0.9373, 0.9373, 0.0000)

Summary:
As for the space group: No. 139. As for the energy relative to the elements, uncorrected: -1099.2 meV/atom. For the density of states at the Fermi level, the calculation gives 1.207 states/eV/cell.

Here is a relaxed structure of Sm8Si3CBr4 from the Alexandria database. Energies are from GGA-PBE.

abc: 8.2292 8.7096 8.2292
angles: 118.20 120.00 90.00
Fractional coordinates of all 16 atoms:
C (0.0000, 0.5000, 0.0000)
Sm (0.7813, 0.3040, 0.5626)
Sm (0.7814, 0.3040, 0.0226)
Sm (0.2630, 0.2891, 0.5261)
Sm (0.7587, 0.6960, 0.9774)
Sm (0.7370, 0.7109, 0.4739)
Sm (0.2187, 0.6960, 0.4374)
Sm (0.2186, 0.6960, 0.9774)
Sm (0.2413, 0.3040, 0.0226)
Br (0.0000, 0.0000, 0.5000)
Br (0.5000, 0.0000, 0.0000)
Br (0.0000, 0.0000, 0.0000)
Br (0.5000, 0.0000, 0.5000)
Si (0.5000, 0.5000, 0.0000)
Si (0.0000, 0.5000, 0.5000)
Si (0.5000, 0.5000, 0.5000)

Summary:
As for the space group: No. 166. As for the energy relative to the elements, uncorrected: -1001.2 meV/atom. For the density of states at the Fermi level, the calculation gives 6.556 states/eV/cell.

Here is a relaxed structure of Li2BeAl from the Alexandria database. Energies are from GGA-PBE.

abc: 4.9064 4.9064 4.9064
angles: 144.85 126.97 65.22
Fractional coordinates of all 4 atoms:
Li (0.7516, 0.2516, 0.5000)
Li (0.0147, 0.0147, 0.0000)
Al (0.4839, 0.4839, 0.0000)
Be (0.2498, 0.7498, 0.5000)

Summary:
As for the space group: No. 44. The energy relative to the lowest polymorph listed for this composition is 93.3 meV per atom. For the density of states at the Fermi level, the calculation gives 0.906 states/eV/cell. For the energy relative to the elements, the calculation gives 0.06 eV/atom.

Here is a relaxed structure of Dy15Tm4Sc from the Alexandria database. Energies are from GGA-PBE.

abc: 4.9786 4.9786 24.8220
angles: 90.00 90.00 90.00
Fractional coordinates of all 20 atoms:
Dy (0.5000, 0.5000, 0.3993)
Dy (0.0000, 0.5000, 0.9027)
Dy (0.0000, 0.5000, 0.5000)
Dy (0.5000, 0.5000, 0.1979)
Dy (0.5000, 0.5000, 0.8021)
Dy (0.5000, 0.0000, 0.7014)
Dy (0.0000, 0.5000, 0.7014)
Dy (0.5000, 0.0000, 0.2986)
Dy (0.5000, 0.5000, 0.0000)
Dy (0.0000, 0.5000, 0.2986)
Dy (0.0000, 0.5000, 0.0973)
Dy (0.5000, 0.0000, 0.5000)
Dy (0.5000, 0.0000, 0.9027)
Dy (0.5000, 0.5000, 0.6007)
Dy (0.5000, 0.0000, 0.0973)
Tm (0.0000, 0.0000, 0.6007)
Tm (0.0000, 0.0000, 0.3993)
Tm (0.0000, 0.0000, 0.1982)
Tm (0.0000, 0.0000, 0.8018)
Sc (0.0000, 0.0000, 0.0000)

Summary:
As for the space group: No. 123. For the density of states at the Fermi level, the calculation gives 26.682 states/eV/cell. For the energy relative to the elements, the calculation gives 0.02 eV/atom.

Here is a relaxed structure of Sm2Y2Hg from the Alexandria database. Energies are from GGA-PBE.

abc: 3.6194 3.6194 11.8849
angles: 98.76 98.76 90.00
Each line ends with the local moment (μB).
Fractional coordinates of all 5 atoms:
Y (0.4149, 0.4149, 0.8297)  0.08
Y (0.5851, 0.5851, 0.1703)  0.08
Sm (0.1951, 0.1951, 0.3901)  0.02
Sm (0.8049, 0.8049, 0.6099)  0.02
Hg (0.0000, 0.0000, 0.0000)  0.01

Summary:
As for the space group: No. 139. The energy relative to the lowest polymorph listed for this composition is 0.0 meV per atom. For the density of states at the Fermi level, the calculation gives 7.458 states/eV/cell. For the energy relative to the elements, the calculation gives -0.19 eV/atom.

Here is a relaxed structure of Pm3NpP4 from the Alexandria database. Energies are from GGA-PBE.

abc: 7.0662 7.0787 8.1655
angles: 90.00 90.00 109.52
Each line ends with the local moment (μB).
Fractional coordinates of all 16 atoms:
P (0.9925, 0.2452, 0.6318)  -0.04
P (0.4985, 0.7627, 0.1185)  -0.07
P (0.5015, 0.2373, 0.8815)  -0.07
P (0.9985, 0.7627, 0.8815)  -0.07
P (0.4925, 0.2452, 0.3682)  -0.04
P (0.5075, 0.7548, 0.6318)  -0.04
P (0.0075, 0.7548, 0.3682)  -0.04
P (0.0015, 0.2373, 0.1185)  -0.07
Pm (0.2500, 0.0000, 0.6245)  0.02
Pm (0.2500, 0.5000, 0.8743)  0.02
Pm (0.7500, 0.0000, 0.3755)  0.02
Pm (0.7500, 0.5000, 0.6241)  0.02
Pm (0.2500, 0.5000, 0.3759)  0.02
Pm (0.7500, 0.5000, 0.1257)  0.02
Np (0.7500, 0.0000, 0.8753)  3.47
Np (0.2500, 0.0000, 0.1247)  3.47

Summary:
As for the space group: No. 13. For the density of states at the Fermi level, the calculation gives 24.225 states/eV/cell. For the energy relative to the elements, the calculation gives -1.38 eV/atom.

Here is a relaxed structure of InHSCl2 from the Alexandria database. Energies are from GGA-PBE.

abc: 5.4056 5.4056 3.3291
angles: 90.00 90.00 90.00
Each line ends with the local moment (μB).
Fractional coordinates of all 5 atoms:
In (0.5000, 0.5000, 0.5000)  0.00
Cl (0.0000, 0.5000, 0.0000)  0.18
Cl (0.5000, 0.0000, 0.0000)  0.18
H (0.0000, 0.0000, 0.0000)  -0.01
S (0.0000, 0.0000, 0.5000)  0.62

Summary:
As for the space group: No. 123. The energy relative to the lowest polymorph listed for this composition is 0.0 meV per atom. For the density of states at the Fermi level, the calculation gives 4.424 states/eV/cell.

| no. | uncorrected energy (eV per formula unit) | total magnetization (Bohr magnetons per cell) |
| --- | --- | --- |
| 1 | -41.40 | 0.0 |
| 2 | -13.16 | 0.0 |
| 3 | -25.33 | 0.0 |
| 4 | -97.47 | 10.2 |
| 5 | -22.70 | 3.6 |
| 6 | -21.76 | 0.0 |
| 7 | -33.95 | 0.0 |
| 8 | -18.74 | 0.0 |
| 9 | -29.63 | 0.0 |
| 10 | -14.65 | 0.0 |
| 11 | -71.13 | 2.1 |
| 12 | -37.17 | 1.0 |
| 13 | -9.76 | 0.0 |
| 14 | -43.72 | 0.0 |
| 15 | -85.96 | 0.0 |
| 16 | -11.05 | 0.0 |
| 17 | -92.77 | 0.0 |
| 18 | -23.62 | 0.4 |
| 19 | -59.89 | 7.0 |
| 20 | -13.33 | 1.4 |